1.
First-principles (PBE-GGA) data for a geometry-optimized CuIr2Pd structure, as listed in OQMD.

```
data_CuIr2Pd
_cell_length_a 6.124
_cell_length_b 6.124
_cell_length_c 6.124
_cell_angle_alpha 90.00
_cell_angle_beta 90.00
_cell_angle_gamma 90.00
_symmetry_space_group_name_H-M 'F -4 3 m'
_symmetry_Int_Tables_number 216
_symmetry_space_group_name_Hall 'F -4 2 3'
loop_
_atom_site_label
_atom_site_fract_x
_atom_site_fract_y
_atom_site_fract_z
_atom_site_occupancy
Cu1 0.000 0.000 0.000 1
Ir1 0.000 0.000 0.500 1
Ir2 0.250 0.250 0.250 1
Pd1 0.250 0.250 0.750 1
```

## Properties
Formation energy = 1.17 eV per formula unit
Magnetic moment = 0.08 μB per formula unit
Total energy = -6.36 eV/atom

2.
First-principles (PBE-GGA) data for a geometry-optimized ErTm2Lu4Ni2Te2 structure, as listed in OQMD.

```
data_ErTm2Lu4Ni2Te2
_cell_length_a 3.800
_cell_length_b 15.261
_cell_length_c 9.407
_cell_angle_alpha 90.00
_cell_angle_beta 90.00
_cell_angle_gamma 90.00
_symmetry_space_group_name_H-M 'I m m 2'
_symmetry_Int_Tables_number 44
_symmetry_space_group_name_Hall 'I 2 -2'
loop_
_atom_site_label
_atom_site_fract_x
_atom_site_fract_y
_atom_site_fract_z
_atom_site_occupancy
Er1 0.000 0.000 0.000 1
Tm1 0.000 0.315 0.376 1
Lu1 0.000 0.135 0.581 1
Lu2 0.000 0.353 0.728 1
Ni1 0.000 0.236 0.069 1
Te1 0.000 0.000 0.339 1
Te2 0.000 0.500 0.232 1
```

## Properties
Magnetic moment = 0.01 μB per formula unit
Total energy = -5.13 eV/atom
ΔE to the lowest computed polymorph = 0.08 eV per formula unit